Ca5Cd4Ge: relaxed, GGA-PBE.

```
data_Ca5Cd4Ge
_chemical_formula_sum 'Ca5 Cd4 Ge1'
_cell_length_a 3.7743
_cell_length_b 3.7743
_cell_length_c 19.1492
_cell_angle_alpha 90.00
_cell_angle_beta 90.00
_cell_angle_gamma 90.00
_space_group_name_H-M_alt 'P 1'
_space_group_IT_number 1
loop_
_space_group_symop_operation_xyz
'x,y,z'
loop_
_atom_site_label
_atom_site_type_symbol
_atom_site_fract_x
_atom_site_fract_y
_atom_site_fract_z
Ca1 Ca 0.5000 0.5000 0.9092
Ca2 Ca 0.5000 0.5000 0.2953
Ca3 Ca 0.5000 0.5000 0.5000
Ca4 Ca 0.5000 0.5000 0.7047
Ca5 Ca 0.5000 0.5000 0.0908
Cd1 Cd 0.0000 0.0000 0.8057
Cd2 Cd 0.0000 0.0000 0.6014
Cd3 Cd 0.0000 0.0000 0.1943
Cd4 Cd 0.0000 0.0000 0.3986
Ge1 Ge 0.0000 0.0000 0.0000
```

* DFT total energy: -22.2 eV/f.u.
* symmetry: P4/mmm, No. 123
* energy of formation from the pure elements: -0.3911 eV per atom
* N(E_F): 0.8212 states/eV/atom

***

Pm4Sb2Se: relaxed, GGA-PBE.

```
data_Pm4Sb2Se
_chemical_formula_sum 'Pm4 Sb2 Se1'
_cell_length_a 5.3424
_cell_length_b 5.3424
_cell_length_c 9.0114
_cell_angle_alpha 107.24
_cell_angle_beta 107.24
_cell_angle_gamma 90.00
_space_group_name_H-M_alt 'P 1'
_space_group_IT_number 1
loop_
_space_group_symop_operation_xyz
'x,y,z'
loop_
_atom_site_label
_atom_site_type_symbol
_atom_site_fract_x
_atom_site_fract_y
_atom_site_fract_z
Pm1 Pm 0.5000 0.0000 0.0000
Pm2 Pm 0.1746 0.1746 0.3493
Pm3 Pm 0.0000 0.5000 0.0000
Pm4 Pm 0.8254 0.8254 0.6507
Se1 Se 0.0000 0.0000 0.0000
Sb1 Sb 0.6332 0.6332 0.2663
Sb2 Sb 0.3668 0.3668 0.7337
```

* DFT total energy: -36.5 eV/f.u.
* symmetry: I4/mmm, No. 139
* energy relative to the elements, uncorrected: -80 kJ/mol of atoms
* E above lowest polymorph: 363 meV/atom
* N(E_F): 1.0476 states/eV/atom

***

LaNd12Dy3: relaxed, GGA-PBE.

```
data_LaNd12Dy3
_chemical_formula_sum 'La1 Nd12 Dy3'
_cell_length_a 5.1763
_cell_length_b 5.1763
_cell_length_c 20.7009
_cell_angle_alpha 90.00
_cell_angle_beta 90.00
_cell_angle_gamma 90.00
_space_group_name_H-M_alt 'P 1'
_space_group_IT_number 1
loop_
_space_group_symop_operation_xyz
'x,y,z'
loop_
_atom_site_label
_atom_site_type_symbol
_atom_site_fract_x
_atom_site_fract_y
_atom_site_fract_z
Nd1 Nd 0.0000 0.5000 0.3759
Nd2 Nd 0.5000 0.0000 0.6241
Nd3 Nd 0.0000 0.5000 0.6241
Nd4 Nd 0.5000 0.0000 0.8722
Nd5 Nd 0.5000 0.5000 0.2528
Nd6 Nd 0.5000 0.5000 0.5000
Nd7 Nd 0.0000 0.5000 0.8722
Nd8 Nd 0.5000 0.5000 0.7472
Nd9 Nd 0.5000 0.0000 0.3759
Nd10 Nd 0.5000 0.0000 0.1278
Nd11 Nd 0.0000 0.5000 0.1278
Nd12 Nd 0.5000 0.5000 0.0000
Dy1 Dy 0.0000 0.0000 0.7484
Dy2 Dy 0.0000 0.0000 0.5000
Dy3 Dy 0.0000 0.0000 0.2516
La1 La 0.0000 0.0000 0.0000
```

* DFT total energy: -75.7 eV/f.u.
* symmetry: P4/mmm, No. 123
* energy of formation from the pure elements: 0.0145 eV per atom
* N(E_F): 1.5812 states/eV/atom